DFT (PBE) results for a relaxed structure of ZrTc3Sb.

Output
final energy: -7.001 eV per atom
formation energy from raw total energies: 1752 meV per atom
density of states at the Fermi level: 6.178 states/eV/cell
SG: Pm-3m

Unit cell a=4.819 b=4.819 c=4.819 alpha=90.00 beta=90.00 gamma=90.00
Atoms (fractional coordinates):
Zr 0.000 0.000 0.000
Tc 0.000 0.000 0.500
Tc 0.000 0.500 0.000
Tc 0.500 0.000 0.000
Sb 0.500 0.500 0.500


DFT (PBE) results for a relaxed structure of Zr2TcSb.

Output
final energy: -8.173 eV per atom
formation energy from raw total energies: -277 meV per atom
density of states at the Fermi level: 7.327 states/eV/cell
SG: I-4m2

Unit cell a=4.061 b=4.061 c=9.715 alpha=90.00 beta=90.00 gamma=90.00
Atoms (fractional coordinates):
Zr 0.000 0.000 0.000
Zr 0.000 0.500 0.250
Zr 0.500 0.000 0.750
Zr 0.500 0.500 0.500
Tc 0.000 0.000 0.500
Tc 0.500 0.500 0.000
Sb 0.000 0.500 0.750
Sb 0.500 0.000 0.250